Compound: RePH
Source: Alexandria
Functional: PBE
Structure: optimized geometry

The value obtained for the final energy is -86.30 eV for the cell shown.

a b c (Å): 8.2239 3.0505 5.8144
angles (deg): 90.00 114.48 90.00
Positions (direct):
Re 0.0000 0.0000 0.0000
Re 0.1995 0.5000 0.4681
Re 0.5000 0.5000 0.0000
Re 0.6995 0.0000 0.4681
P 0.0217 0.0000 0.5987
P 0.2373 0.5000 0.0861
P 0.5217 0.5000 0.5987
P 0.7373 0.0000 0.0861
H 0.3126 0.0000 0.4703
H 0.3760 0.0000 0.8570
H 0.8126 0.5000 0.4703
H 0.8760 0.5000 0.8570

***

Compound: Pr5Ho3Er2
Source: Alexandria
Functional: PBE
Structure: optimized geometry

The energy of formation from the pure elements is 16.70 kJ/mol of atoms.

a b c (Å): 9.1882 9.1882 10.0809
angles (deg): 108.17 108.17 108.39
Positions (direct):
Pr 0.0186 0.9814 0.7500
Pr 0.1219 0.3830 0.7578
Pr 0.2286 0.7714 0.7500
Pr 0.3830 0.1219 0.2578
Pr 0.4779 0.5221 0.2500
Pr 0.5221 0.4779 0.7500
Pr 0.6170 0.8781 0.7422
Pr 0.7714 0.2286 0.2500
Pr 0.8781 0.6170 0.2422
Pr 0.9814 0.0186 0.2500
Ho 0.2199 0.4705 0.4417
Ho 0.2721 0.7279 0.2500
Ho 0.4705 0.2199 0.9417
Ho 0.5295 0.7801 0.0583
Ho 0.7279 0.2721 0.7500
Ho 0.7801 0.5295 0.5583
Er 0.0241 0.2825 0.0587
Er 0.2825 0.0241 0.5587
Er 0.7175 0.9759 0.4413
Er 0.9759 0.7175 0.9413

***

Compound: Mg2Ga2Cu
Source: Alexandria
Functional: PBE
Structure: optimized geometry

The energy of formation from the pure elements is -5.81 kJ/mol of atoms.

a b c (Å): 7.1393 7.1393 7.1393
angles (deg): 131.34 68.07 135.48
Positions (direct):
Mg 0.1035 0.1575 0.2610
Mg 0.3965 0.6575 0.0540
Mg 0.6035 0.3425 0.9460
Mg 0.8965 0.8425 0.7390
Ga 0.1634 0.6610 0.8244
Ga 0.3366 0.1610 0.4976
Ga 0.6634 0.8390 0.5024
Ga 0.8366 0.3390 0.1756
Cu 0.2500 0.7500 0.5000
Cu 0.7500 0.2500 0.5000

***

Compound: K3AuCl6
Source: Alexandria
Functional: PBE
Structure: optimized geometry

As for the energy relative to the elements, uncorrected: -126.02 kJ per mole of atoms.

a b c (Å): 4.8982 8.0696 17.0840
angles (deg): 90.00 104.94 90.00
Positions (direct):
K 0.0000 0.0000 0.0000
K 0.0000 0.5000 0.5000
K 0.1821 0.1662 0.7259
K 0.1821 0.3338 0.2259
K 0.8179 0.6662 0.7741
K 0.8179 0.8338 0.2741
Au 0.5000 0.0000 0.5000
Au 0.5000 0.5000 0.0000
Cl 0.1259 0.1354 0.4099
Cl 0.1259 0.3646 0.9099
Cl 0.2420 0.5326 0.6849
Cl 0.2420 0.9674 0.1849
Cl 0.4170 0.7404 0.9218
Cl 0.4170 0.7596 0.4218
Cl 0.5830 0.2404 0.5782
Cl 0.5830 0.2596 0.0782
Cl 0.7580 0.0326 0.8151
Cl 0.7580 0.4674 0.3151
Cl 0.8741 0.6354 0.0901
Cl 0.8741 0.8646 0.5901

***

Compound: ErLu3C
Source: Alexandria
Functional: PBE
Structure: optimized geometry

The energy of formation from the pure elements is -5.11 kJ/mol of atoms.

a b c (Å): 4.9217 4.9217 4.9217
angles (deg): 90.00 90.00 90.00
Positions (direct):
Er 0.0000 0.0000 0.0000
Lu 0.0000 0.5000 0.5000
Lu 0.5000 0.0000 0.5000
Lu 0.5000 0.5000 0.0000
C 0.5000 0.5000 0.5000

***

Compound: InTcHg
Source: Alexandria
Functional: PBE
Structure: optimized geometry

The energy of formation from the pure elements is 66.16 kJ/mol of atoms.

a b c (Å): 6.5046 6.5046 6.5046
angles (deg): 90.00 90.00 90.00
Positions (direct):
In 0.0000 0.0000 0.0000
In 0.0000 0.5000 0.5000
In 0.5000 0.0000 0.5000
In 0.5000 0.5000 0.0000
Tc 0.2500 0.2500 0.7500
Tc 0.2500 0.7500 0.2500
Tc 0.7500 0.2500 0.2500
Tc 0.7500 0.7500 0.7500
Hg 0.0000 0.0000 0.5000
Hg 0.0000 0.5000 0.0000
Hg 0.5000 0.0000 0.0000
Hg 0.5000 0.5000 0.5000

***

Compound: Pm2Sm3Y5
Source: Alexandria
Functional: PBE
Structure: optimized geometry

The energy of formation from the pure elements is 17.14 kJ/mol of atoms.

a b c (Å): 9.8022 9.8022 9.3355
angles (deg): 108.48 108.48 113.31
Positions (direct):
Pm 0.0224 0.2708 0.0440
Pm 0.2708 0.0224 0.5440
Pm 0.7292 0.9776 0.4560
Pm 0.9776 0.7292 0.9560
Sm 0.2253 0.4747 0.4510
Sm 0.2735 0.7265 0.2500
Sm 0.4747 0.2253 0.9510
Sm 0.5253 0.7747 0.0490
Sm 0.7265 0.2735 0.7500
Sm 0.7747 0.5253 0.5490
Y 0.0254 0.9746 0.7500
Y 0.1302 0.3745 0.7514
Y 0.2265 0.7735 0.7500
Y 0.3745 0.1302 0.2514
Y 0.4752 0.5248 0.2500
Y 0.5248 0.4752 0.7500
Y 0.6255 0.8698 0.7486
Y 0.7735 0.2265 0.2500
Y 0.8698 0.6255 0.2486
Y 0.9746 0.0254 0.2500

***

Compound: DyYNp2As4
Source: Alexandria
Functional: PBE
Structure: optimized geometry

The energy of formation from the pure elements is -107.16 kJ/mol of atoms.

a b c (Å): 7.1140 4.1054 7.1383
angles (deg): 90.00 109.39 90.00
Positions (direct):
Dy 0.0000 0.0000 0.0000
Y 0.5000 0.5000 0.0000
Np 0.0000 0.5000 0.5000
Np 0.5000 0.0000 0.5000
As 0.2487 0.0000 0.7469
As 0.2506 0.5000 0.2528
As 0.7494 0.5000 0.7472
As 0.7513 0.0000 0.2531

***

Compound: La4ErTh3S8
Source: Alexandria
Functional: PBE
Structure: optimized geometry

As for the energy relative to the elements, uncorrected: -194.46 kJ per mole of atoms.

a b c (Å): 8.1607 8.1607 8.1607
angles (deg): 59.85 59.85 59.85
Positions (direct):
La 0.0000 0.0000 0.0000
La 0.0000 0.5000 0.5000
La 0.5000 0.0000 0.5000
La 0.5000 0.5000 0.0000
Er 0.5000 0.5000 0.5000
Th 0.0000 0.0000 0.5000
Th 0.0000 0.5000 0.0000
Th 0.5000 0.0000 0.0000
S 0.2481 0.2481 0.2481
S 0.2544 0.7413 0.7413
S 0.2587 0.2587 0.7456
S 0.2587 0.7456 0.2587
S 0.7413 0.2544 0.7413
S 0.7413 0.7413 0.2544
S 0.7456 0.2587 0.2587
S 0.7519 0.7519 0.7519

***

Compound: CaTl2Os
Source: Alexandria
Functional: PBE
Structure: optimized geometry

The energy of formation from the pure elements is 59.73 kJ/mol of atoms.

a b c (Å): 6.2808 9.9909 3.3140
angles (deg): 90.00 118.43 90.00
Positions (direct):
Ca 0.0000 0.0000 0.0000
Ca 0.5000 0.5000 0.0000
Tl 0.2500 0.2500 0.5000
Tl 0.2500 0.7500 0.5000
Tl 0.7500 0.2500 0.5000
Tl 0.7500 0.7500 0.5000
Os 0.0000 0.5000 0.0000
Os 0.5000 0.0000 0.0000